The following is a DFT calculation (PBE) of crystalline Pr2Ni3As4Ru at its relaxed geometry.

a = 4.211 Å, b = 4.211 Å, c = 9.790 Å
α = 90.00°, β = 90.00°, γ = 90.00°
Positions (direct):
As: 0.500 0.000 0.637
As: 0.000 0.500 0.363
As: 0.500 0.500 0.000
As: 0.000 0.000 0.000
Ni: 0.000 0.000 0.500
Ni: 0.000 0.500 0.118
Ni: 0.500 0.000 0.882
Pr: 0.000 0.500 0.755
Pr: 0.500 0.000 0.245
Ru: 0.500 0.500 0.500

energy of formation = -0.780 eV/atom
space group = P-4m2

The following is a DFT calculation (PBE) of crystalline MnHgAu2 at its relaxed geometry.

a = 4.971 Å, b = 4.971 Å, c = 4.982 Å
α = 76.98°, β = 76.98°, γ = 38.27°
Positions (direct):
Au: 0.515 0.515 0.479
Au: 0.985 0.985 0.021
Hg: 0.750 0.750 0.750
Mn: 0.250 0.250 0.250

energy of formation = 0.087 eV/atom
space group = C2/m

The following is a DFT calculation (PBE) of crystalline CdHgMo2 at its relaxed geometry.

a = 5.453 Å, b = 5.453 Å, c = 5.453 Å
α = 141.38°, β = 134.25°, γ = 61.37°
Positions (direct):
Cd: 0.750 0.250 0.500
Hg: 0.250 0.750 0.500
Mo: 0.000 0.000 0.000
Mo: 0.500 0.500 0.000

excess energy over the best structure of this formula in the dataset = 0.232 eV per atom
energy of formation = 0.544 eV/atom
space group = Immm